[1]
VASP calculation (PBE) on a relaxed structure of Re2Hg.

* symmetry: No. 74
* energy above the lowest structure with this stoichiometry: 611 meV per atom
* E_form: 1011 meV/atom
* ρ: 17.37 g cm⁻³

Geometry as CIF:
```
data_Re2Hg
_chemical_formula_sum 'Re8 Hg4'
_symmetry_space_group_name_H-M 'P 1'
_symmetry_Int_Tables_number 1
_cell_length_a 4.587
_cell_length_b 2.844
_cell_length_c 16.797
_cell_angle_alpha 90.00
_cell_angle_beta 90.00
_cell_angle_gamma 90.00
loop_
_symmetry_equiv_pos_as_xyz
'x,y,z'
loop_
_atom_site_label
_atom_site_fract_x
_atom_site_fract_y
_atom_site_fract_z
_atom_site_occupancy
Re1 0.000 0.250 0.064 1
Re2 0.000 0.250 0.215 1
Re3 0.000 0.750 0.785 1
Re4 0.000 0.750 0.936 1
Re5 0.500 0.250 0.285 1
Re6 0.500 0.250 0.436 1
Re7 0.500 0.750 0.564 1
Re8 0.500 0.750 0.715 1
Hg1 0.000 0.250 0.616 1
Hg2 0.000 0.750 0.384 1
Hg3 0.500 0.250 0.884 1
Hg4 0.500 0.750 0.116 1
```


[2]
VASP calculation (PBE) on a relaxed structure of Ca2YW.

* symmetry: No. 119
* energy above the lowest structure with this stoichiometry: 173 meV per atom
* E_form: 770 meV/atom
* ρ: 5.48 g cm⁻³

Geometry as CIF:
```
data_Ca2YW
_chemical_formula_sum 'Ca2 Y1 W1'
_symmetry_space_group_name_H-M 'P 1'
_symmetry_Int_Tables_number 1
_cell_length_a 5.615
_cell_length_b 5.615
_cell_length_c 5.615
_cell_angle_alpha 127.97
_cell_angle_beta 127.97
_cell_angle_gamma 76.67
loop_
_symmetry_equiv_pos_as_xyz
'x,y,z'
loop_
_atom_site_label
_atom_site_fract_x
_atom_site_fract_y
_atom_site_fract_z
_atom_site_occupancy
Y1 0.750 0.250 0.500 1
Ca1 0.000 0.000 0.000 1
Ca2 0.250 0.750 0.500 1
W1 0.500 0.500 0.000 1
```


[3]
VASP calculation (PBE) on a relaxed structure of TiTlBr2.

* symmetry: No. 166
* energy above the lowest structure with this stoichiometry: 0 meV per atom
* ρ: 6.25 g cm⁻³
* raw formation energy: -686 meV per atom

Geometry as CIF:
```
data_TiTlBr2
_chemical_formula_sum 'Ti1 Tl1 Br2'
_symmetry_space_group_name_H-M 'P 1'
_symmetry_Int_Tables_number 1
_cell_length_a 10.603
_cell_length_b 10.603
_cell_length_c 10.603
_cell_angle_alpha 18.92
_cell_angle_beta 18.92
_cell_angle_gamma 18.92
loop_
_symmetry_equiv_pos_as_xyz
'x,y,z'
loop_
_atom_site_label
_atom_site_fract_x
_atom_site_fract_y
_atom_site_fract_z
_atom_site_occupancy
Tl1 0.000 0.000 0.000 1
Br1 0.888 0.888 0.888 1
Br2 0.112 0.112 0.112 1
Ti1 0.500 0.500 0.500 1
```


[4]
VASP calculation (PBE) on a relaxed structure of AcPrGaGe.

* symmetry: No. 38
* energy above the lowest structure with this stoichiometry: 0 meV per atom
* E_form: -682 meV/atom
* ρ: 7.41 g cm⁻³

Geometry as CIF:
```
data_AcPrGaGe
_chemical_formula_sum 'Ac1 Pr1 Ga1 Ge1'
_symmetry_space_group_name_H-M 'P 1'
_symmetry_Int_Tables_number 1
_cell_length_a 4.605
_cell_length_b 4.221
_cell_length_c 6.319
_cell_angle_alpha 90.00
_cell_angle_beta 111.37
_cell_angle_gamma 90.00
loop_
_symmetry_equiv_pos_as_xyz
'x,y,z'
loop_
_atom_site_label
_atom_site_fract_x
_atom_site_fract_y
_atom_site_fract_z
_atom_site_occupancy
Ac1 0.748 0.500 0.496 1
Pr1 0.029 0.000 0.057 1
Ga1 0.467 0.500 0.934 1
Ge1 0.326 0.000 0.652 1
```


[5]
VASP calculation (PBE) on a relaxed structure of Tb2ErTmO6.

* symmetry: No. 146
* ρ: 8.52 g cm⁻³
* raw formation energy: -3561 meV per atom

Geometry as CIF:
```
data_Tb2ErTmO6
_chemical_formula_sum 'Tb2 Er1 Tm1 O6'
_symmetry_space_group_name_H-M 'P 1'
_symmetry_Int_Tables_number 1
_cell_length_a 5.789
_cell_length_b 5.789
_cell_length_c 6.043
_cell_angle_alpha 61.38
_cell_angle_beta 61.38
_cell_angle_gamma 60.00
loop_
_symmetry_equiv_pos_as_xyz
'x,y,z'
loop_
_atom_site_label
_atom_site_fract_x
_atom_site_fract_y
_atom_site_fract_z
_atom_site_occupancy
Tb1 0.527 0.527 0.420 1
Tb2 0.026 0.026 0.921 1
Er1 0.809 0.809 0.572 1
Tm1 0.310 0.310 0.070 1
O1 0.616 0.202 0.255 1
O2 0.202 0.927 0.255 1
O3 0.927 0.616 0.255 1
O4 0.425 0.701 0.756 1
O5 0.701 0.118 0.756 1
O6 0.118 0.425 0.756 1
```


[6]
VASP calculation (PBE) on a relaxed structure of ZnReCl2.

* symmetry: No. 35
* energy above the lowest structure with this stoichiometry: 140 meV per atom
* ρ: 6.78 g cm⁻³
* raw formation energy: 120 meV per atom

Geometry as CIF:
```
data_ZnReCl2
_chemical_formula_sum 'Zn1 Re1 Cl2'
_symmetry_space_group_name_H-M 'P 1'
_symmetry_Int_Tables_number 1
_cell_length_a 3.174
_cell_length_b 3.174
_cell_length_c 9.302
_cell_angle_alpha 90.00
_cell_angle_beta 90.00
_cell_angle_gamma 122.62
loop_
_symmetry_equiv_pos_as_xyz
'x,y,z'
loop_
_atom_site_label
_atom_site_fract_x
_atom_site_fract_y
_atom_site_fract_z
_atom_site_occupancy
Re1 0.000 0.000 0.510 1
Zn1 0.500 0.500 0.744 1
Cl1 0.000 0.000 0.930 1
Cl2 0.500 0.500 0.316 1
```


[7]
VASP calculation (PBE) on a relaxed structure of Na5B7C3.

* symmetry: No. 1
* energy above the lowest structure with this stoichiometry: 35 meV per atom
* E_form: 148 meV/atom
* ρ: 2.41 g cm⁻³

Geometry as CIF:
```
data_Na5B7C3
_chemical_formula_sum 'Na10 B14 C6'
_symmetry_space_group_name_H-M 'P 1'
_symmetry_Int_Tables_number 1
_cell_length_a 7.586
_cell_length_b 7.586
_cell_length_c 9.038
_cell_angle_alpha 107.36
_cell_angle_beta 107.37
_cell_angle_gamma 39.29
loop_
_symmetry_equiv_pos_as_xyz
'x,y,z'
loop_
_atom_site_label
_atom_site_fract_x
_atom_site_fract_y
_atom_site_fract_z
_atom_site_occupancy
Na1 0.801 0.800 0.999 1
Na2 0.902 0.900 0.503 1
Na3 0.601 0.598 0.996 1
Na4 0.703 0.699 0.502 1
Na5 0.401 0.397 0.996 1
Na6 0.503 0.499 0.504 1
Na7 0.200 0.199 0.999 1
Na8 0.301 0.300 0.503 1
Na9 0.999 0.998 0.992 1
Na10 0.100 0.101 0.505 1
B1 0.589 0.904 0.249 1
B2 0.618 0.282 0.750 1
B3 0.679 0.009 0.750 1
B4 0.528 0.181 0.250 1
B5 0.399 0.701 0.250 1
B6 0.481 0.818 0.750 1
B7 0.281 0.010 0.250 1
B8 0.196 0.511 0.250 1
B9 0.264 0.635 0.750 1
B10 0.090 0.819 0.250 1
B11 0.082 0.419 0.750 1
B12 0.919 0.572 0.250 1
B13 0.891 0.220 0.750 1
B14 0.729 0.371 0.250 1
C1 0.419 0.076 0.750 1
C2 0.218 0.884 0.750 1
C3 0.982 0.314 0.251 1
C4 0.015 0.682 0.750 1
C5 0.786 0.118 0.250 1
C6 0.824 0.481 0.749 1
```


[8]
VASP calculation (PBE) on a relaxed structure of TbPm2Nd6Th.

* symmetry: No. 15
* E_form: 143 meV/atom
* ρ: 7.39 g cm⁻³

Geometry as CIF:
```
data_TbPm2Nd6Th
_chemical_formula_sum 'Tb2 Pm4 Nd12 Th2'
_symmetry_space_group_name_H-M 'P 1'
_symmetry_Int_Tables_number 1
_cell_length_a 10.016
_cell_length_b 8.886
_cell_length_c 8.886
_cell_angle_alpha 116.97
_cell_angle_beta 95.04
_cell_angle_gamma 95.04
loop_
_symmetry_equiv_pos_as_xyz
'x,y,z'
loop_
_atom_site_label
_atom_site_fract_x
_atom_site_fract_y
_atom_site_fract_z
_atom_site_occupancy
Tb1 0.250 0.406 0.594 1
Tb2 0.750 0.594 0.406 1
Pm1 0.454 0.806 0.715 1
Pm2 0.046 0.285 0.194 1
Pm3 0.546 0.194 0.285 1
Pm4 0.954 0.715 0.806 1
Nd1 0.056 0.111 0.748 1
Nd2 0.444 0.252 0.889 1
Nd3 0.944 0.889 0.252 1
Nd4 0.556 0.748 0.111 1
Nd5 0.312 0.986 0.422 1
Nd6 0.188 0.578 0.014 1
Nd7 0.688 0.014 0.578 1
Nd8 0.812 0.422 0.986 1
Nd9 0.121 0.700 0.494 1
Nd10 0.379 0.506 0.300 1
Nd11 0.879 0.300 0.506 1
Nd12 0.621 0.494 0.700 1
Th1 0.250 0.980 0.020 1
Th2 0.750 0.020 0.980 1
```


[9]
VASP calculation (PBE) on a relaxed structure of YGa4Pb.

* symmetry: No. 216
* E_form: -233 meV/atom
* ρ: 7.52 g cm⁻³

Geometry as CIF:
```
data_YGa4Pb
_chemical_formula_sum 'Y1 Ga4 Pb1'
_symmetry_space_group_name_H-M 'P 1'
_symmetry_Int_Tables_number 1
_cell_length_a 5.642
_cell_length_b 5.642
_cell_length_c 5.642
_cell_angle_alpha 60.00
_cell_angle_beta 60.00
_cell_angle_gamma 60.00
loop_
_symmetry_equiv_pos_as_xyz
'x,y,z'
loop_
_atom_site_label
_atom_site_fract_x
_atom_site_fract_y
_atom_site_fract_z
_atom_site_occupancy
Pb1 0.000 0.000 0.000 1
Y1 0.250 0.250 0.250 1
Ga1 0.625 0.625 0.126 1
Ga2 0.625 0.126 0.625 1
Ga3 0.625 0.625 0.625 1
Ga4 0.126 0.625 0.625 1
```


[10]
VASP calculation (PBE) on a relaxed structure of Be2PRh.

* symmetry: No. 22
* E_form: -268 meV/atom
* ρ: 5.87 g cm⁻³

Geometry as CIF:
```
data_Be2PRh
_chemical_formula_sum 'Be2 P1 Rh1'
_symmetry_space_group_name_H-M 'P 1'
_symmetry_Int_Tables_number 1
_cell_length_a 4.361
_cell_length_b 4.361
_cell_length_c 4.354
_cell_angle_alpha 133.35
_cell_angle_beta 133.36
_cell_angle_gamma 68.24
loop_
_symmetry_equiv_pos_as_xyz
'x,y,z'
loop_
_atom_site_label
_atom_site_fract_x
_atom_site_fract_y
_atom_site_fract_z
_atom_site_occupancy
P1 0.500 0.500 0.000 1
Rh1 0.250 0.750 0.500 1
Be1 0.000 0.000 0.000 1
Be2 0.750 0.250 0.500 1
```


[11]
VASP calculation (PBE) on a relaxed structure of AcPmGeIr.

* symmetry: No. 216
* energy above the lowest structure with this stoichiometry: 43 meV per atom
* E_form: -474 meV/atom
* ρ: 10.34 g cm⁻³

Geometry as CIF:
```
data_AcPmGeIr
_chemical_formula_sum 'Ac1 Pm1 Ge1 Ir1'
_symmetry_space_group_name_H-M 'P 1'
_symmetry_Int_Tables_number 1
_cell_length_a 5.249
_cell_length_b 5.249
_cell_length_c 5.249
_cell_angle_alpha 60.00
_cell_angle_beta 60.00
_cell_angle_gamma 60.00
loop_
_symmetry_equiv_pos_as_xyz
'x,y,z'
loop_
_atom_site_label
_atom_site_fract_x
_atom_site_fract_y
_atom_site_fract_z
_atom_site_occupancy
Ac1 0.500 0.500 0.500 1
Ir1 0.250 0.250 0.250 1
Ge1 0.750 0.750 0.750 1
Pm1 0.000 0.000 0.000 1
```


[12]
VASP calculation (PBE) on a relaxed structure of BaScI2O.

* symmetry: No. 123
* energy above the lowest structure with this stoichiometry: 1163 meV per atom
* ρ: 3.69 g cm⁻³
* raw formation energy: -614 meV per atom

Geometry as CIF:
```
data_BaScI2O
_chemical_formula_sum 'Ba1 Sc1 I2 O1'
_symmetry_space_group_name_H-M 'P 1'
_symmetry_Int_Tables_number 1
_cell_length_a 6.713
_cell_length_b 6.713
_cell_length_c 4.517
_cell_angle_alpha 90.00
_cell_angle_beta 90.00
_cell_angle_gamma 90.00
loop_
_symmetry_equiv_pos_as_xyz
'x,y,z'
loop_
_atom_site_label
_atom_site_fract_x
_atom_site_fract_y
_atom_site_fract_z
_atom_site_occupancy
I1 0.000 0.500 0.000 1
I2 0.500 0.000 0.000 1
Sc1 0.500 0.500 0.500 1
Ba1 0.000 0.000 0.000 1
O1 0.000 0.000 0.500 1
```


Repeat the third record exactly.
VASP calculation (PBE) on a relaxed structure of TiTlBr2.

* symmetry: No. 166
* energy above the lowest structure with this stoichiometry: 0 meV per atom
* ρ: 6.25 g cm⁻³
* raw formation energy: -686 meV per atom

Geometry as CIF:
```
data_TiTlBr2
_chemical_formula_sum 'Ti1 Tl1 Br2'
_symmetry_space_group_name_H-M 'P 1'
_symmetry_Int_Tables_number 1
_cell_length_a 10.603
_cell_length_b 10.603
_cell_length_c 10.603
_cell_angle_alpha 18.92
_cell_angle_beta 18.92
_cell_angle_gamma 18.92
loop_
_symmetry_equiv_pos_as_xyz
'x,y,z'
loop_
_atom_site_label
_atom_site_fract_x
_atom_site_fract_y
_atom_site_fract_z
_atom_site_occupancy
Tl1 0.000 0.000 0.000 1
Br1 0.888 0.888 0.888 1
Br2 0.112 0.112 0.112 1
Ti1 0.500 0.500 0.500 1
```